Crystalline CeSmC at its relaxed geometry. Source: the Alexandria database, functional PBE.

Cell lengths 7.6464, 7.6464, 7.6464 Å; angles 33.22, 33.22, 33.22 degrees
Last column: nearest neighbours and their distance in Å.
Fractional positions:
Ce (0.1328, 0.1328, 0.1328)  4 C 2.63-2.88, 3 Ce 2.92
Ce (0.8672, 0.8672, 0.8672)  4 C 2.63-2.88, 3 Ce 2.92
Sm (0.3775, 0.3775, 0.3775)  4 C 2.65-2.70
Sm (0.6225, 0.6225, 0.6225)  4 C 2.65-2.70
C (0.0000, 0.0000, 0.0000)  6 Sm 2.70, 2 Ce 2.88
C (0.5000, 0.5000, 0.5000)  6 Ce 2.63, 2 Sm 2.65

Values from the calculation:
Calculated formation energy: 0.125 eV/atom
Symmetry: No. 166
E above lowest polymorph: 268 meV/atom
Magnetization: 0.0 μB/f.u.